1.
12
Lattice="3.647 -4.665 0.000 3.647 4.665 0.000 0.000 0.000 3.437" Properties=species:S:1:pos:R:3 comment="GGA-PBE TbNiB4, optimized geometry" delta_e_f_ev_per_atom=-0.526 energy_ev_per_cell=-80.554 rho_kg_m3=7409 relative_energy_ev_per_atom=0.0543 volume_a3_per_atom=9.74 pbc="T T T"
Tb 3.647 2.803 0.000
Tb 3.647 -2.803 0.000
Ni 2.360 0.000 0.000
Ni 4.934 0.000 0.000
B 2.017 1.445 1.718
B 0.932 0.000 1.718
B 3.647 0.853 1.718
B 2.017 -1.445 1.718
B 5.276 1.445 1.718
B 3.647 -0.853 1.718
B 6.362 0.000 1.718
B 5.276 -1.445 1.718


2.
16
Lattice="3.483 0.000 0.000 0.000 6.156 0.000 0.000 0.000 8.444" Properties=species:S:1:pos:R:3 comment="GGA-PBE TbNi5B2, optimized geometry" delta_e_f_ev_per_atom=-0.434 energy_ev_per_cell=-100.728 rho_kg_m3=8697 volume_a3_per_atom=11.31 pbc="T T T"
Tb 0.000 0.000 0.000
Tb 1.741 3.078 4.222
Ni 0.000 1.181 2.877
Ni 0.000 1.181 5.567
Ni 0.000 3.078 0.000
Ni 0.000 4.974 2.877
Ni 0.000 4.974 5.567
Ni 1.741 0.000 4.222
Ni 1.741 1.896 1.345
Ni 1.741 1.896 7.099
Ni 1.741 4.259 1.345
Ni 1.741 4.259 7.099
B 0.000 3.078 2.004
B 0.000 3.078 6.440
B 1.741 0.000 2.218
B 1.741 0.000 6.226